ScGaAgPd: relaxed, GGA-PBE.

a b c (Å): 4.5927 4.5927 4.5927
angles (deg): 60.00 60.00 60.00
Sites, in units of the cell vectors:
1 Ag 0.2500 0.2500 0.2500
2 Pd 0.7500 0.7500 0.7500
3 Ga 0.5000 0.5000 0.5000
4 Sc 0.0000 0.0000 0.0000

Results
The spin magnetization is 0.000 μB/f.u. The calculation puts the density of states at the Fermi level at 2.83 states/eV/cell. For the total energy, the calculation gives -4.903 eV per atom.


Sc4Ga2AgPd: relaxed, GGA-PBE.

a b c (Å): 4.7703 4.7703 8.2575
angles (deg): 73.21 73.21 60.00
Sites, in units of the cell vectors:
1 Sc 0.6221 0.6221 0.1338
2 Sc 0.8725 0.8725 0.3824
3 Sc 0.1275 0.1275 0.6176
4 Ga 0.7476 0.7476 0.7571
5 Ag 0.0000 0.0000 0.0000
6 Ga 0.2524 0.2524 0.2429
7 Pd 0.5000 0.5000 0.5000
8 Sc 0.3779 0.3779 0.8662

Results
The spin magnetization is 0.000 μB/f.u. The calculation puts the density of states at the Fermi level at 4.96 states/eV/cell. For the total energy, the calculation gives -5.536 eV per atom.


Sc4GaAg2Pd: relaxed, GGA-PBE.

a b c (Å): 4.7876 4.7876 8.2981
angles (deg): 73.23 73.23 60.00
Sites, in units of the cell vectors:
1 Ag 0.2526 0.2526 0.2421
2 Ga 0.0000 0.0000 0.0000
3 Sc 0.8733 0.8733 0.3802
4 Pd 0.5000 0.5000 0.5000
5 Sc 0.6229 0.6229 0.1314
6 Ag 0.7474 0.7474 0.7579
7 Sc 0.3771 0.3771 0.8686
8 Sc 0.1267 0.1267 0.6198

Results
The spin magnetization is 0.000 μB/f.u. The calculation puts the density of states at the Fermi level at 7.51 states/eV/cell. For the total energy, the calculation gives -5.425 eV per atom.


SmGa2AgPd5: relaxed, GGA-PBE.

a b c (Å): 4.1403 4.1403 9.4348
angles (deg): 90.00 90.00 90.00
Sites, in units of the cell vectors:
1 Ga 0.5000 0.5000 0.8707
2 Pd 0.0000 0.5000 0.2739
3 Pd 0.5000 0.0000 0.7261
4 Ag 0.0000 0.0000 0.0000
5 Pd 0.5000 0.0000 0.2739
6 Pd 0.5000 0.5000 0.5000
7 Ga 0.5000 0.5000 0.1293
8 Sm 0.0000 0.0000 0.5000
9 Pd 0.0000 0.5000 0.7261

Results
The spin magnetization is 0.000 μB/f.u. The calculation puts the density of states at the Fermi level at 2.75 states/eV/cell. For the total energy, the calculation gives -4.926 eV per atom.


Repeat the fourth record exactly.
SmGa2AgPd5: relaxed, GGA-PBE.

a b c (Å): 4.1403 4.1403 9.4348
angles (deg): 90.00 90.00 90.00
Sites, in units of the cell vectors:
1 Ga 0.5000 0.5000 0.8707
2 Pd 0.0000 0.5000 0.2739
3 Pd 0.5000 0.0000 0.7261
4 Ag 0.0000 0.0000 0.0000
5 Pd 0.5000 0.0000 0.2739
6 Pd 0.5000 0.5000 0.5000
7 Ga 0.5000 0.5000 0.1293
8 Sm 0.0000 0.0000 0.5000
9 Pd 0.0000 0.5000 0.7261

Results
The spin magnetization is 0.000 μB/f.u. The calculation puts the density of states at the Fermi level at 2.75 states/eV/cell. For the total energy, the calculation gives -4.926 eV per atom.


Q: Look up the spin magnetization of the second one.
A: 0.000 μB/f.u.